Density functional theory data (PBE) for a geometry-optimized Nb2PbO6 structure.

Cell lengths 3.9409, 13.0518, 13.0965 Å; angles 87.51, 90.00, 90.00 degrees
Last column: nearest neighbours and their distance in Å.
Fractional positions:
1 Nb 0.0000 0.9419 0.2975  5 O 1.83-2.01
2 Nb 0.0000 0.2894 0.9343  5 O 1.84-2.02
3 Nb 0.0000 0.2125 0.4404  4 O 1.83-2.03
4 Nb 0.0000 0.4330 0.2191  4 O 1.81-2.02
5 Nb 0.0000 0.0843 0.7106  4 O 1.84-2.01
6 Nb 0.0000 0.7202 0.0878  4 O 1.83-2.03
7 Nb 0.0000 0.5044 0.5025  4 O 1.91-1.98
8 Nb 0.0000 0.8013 0.5755  4 O 1.82-2.03
9 Nb 0.0000 0.5817 0.7831  4 O 1.88-2.01
10 Nb 0.0000 0.9999 0.0052  4 O 1.89-2.01
11 Pb 0.5000 0.7233 0.3760  6 O 2.51-2.69
12 Pb 0.5000 0.3692 0.7244  6 O 2.54-2.69
13 Pb 0.5000 0.8862 0.8231  4 O 2.39-2.57
14 Pb 0.5000 0.2040 0.2199  4 O 2.37-2.66
15 Pb 0.5000 0.5172 0.0057  5 O 2.43-2.65
16 O 0.5000 0.0554 0.7144  2 Nb 2.01
17 O 0.5000 0.6881 0.0719  2 Nb 2.03
18 O 0.0000 0.7070 0.7032  2 Nb 1.90-2.03
19 O 0.5000 0.7831 0.5557  2 Nb 2.00
20 O 0.5000 0.5527 0.7817  2 Nb 2.01
21 O 0.0000 0.9193 0.6441  1 Nb 1.82
22 O 0.0000 0.6248 0.9181  1 Nb 1.88
23 O 0.0000 0.1320 0.5647  2 Nb 1.90-1.98
24 O 0.0000 0.5538 0.1240  1 Nb 1.97
25 O 0.0000 0.6507 0.4858  1 Nb 1.91
26 O 0.0000 0.4906 0.6486  1 Nb 1.91
27 O 0.5000 0.2043 0.4055  2 Nb 2.03
28 O 0.5000 0.4071 0.1972  2 Nb 2.02
29 O 0.5000 0.4942 0.4913  2 Nb 1.98
30 O 0.0000 0.9902 0.1495  2 Nb 1.89-2.01
31 O 0.0000 0.1454 0.9921  2 Nb 1.90-2.00
32 O 0.0000 0.3392 0.4952  1 Nb 1.83
33 O 0.0000 0.5000 0.3375  1 Nb 1.81
34 O 0.0000 0.8481 0.4235  2 Nb 2.01-2.06
35 O 0.0000 0.4162 0.8399  2 Nb 2.02-2.25
36 O 0.0000 0.0725 0.3438  1 Nb 1.83
37 O 0.0000 0.3502 0.0583  1 Nb 1.84
38 O 0.0000 0.2829 0.2801  2 Nb 2.08-2.25
39 O 0.0000 0.7747 0.2143  1 Nb 1.83
40 O 0.0000 0.2095 0.7702  1 Nb 1.84
41 O 0.5000 0.9157 0.2925  2 Nb 2.00
42 O 0.5000 0.2859 0.9080  2 Nb 2.00
43 O 0.0000 0.9873 0.8404  2 Nb 2.08-2.17
44 O 0.0000 0.8360 0.9978  1 Nb 1.88
45 O 0.5000 0.9825 0.9824  2 Nb 2.01

Output
total moment: 0.00 μB/cell
D(E_F): 0.0 states/eV/cell
formation energy from raw total energies: -20.52 eV per formula unit
energy above the lowest structure with this stoichiometry: 18 meV/atom

***

Density functional theory data (PBE) for a geometry-optimized LiTcPb2 structure.

Cell lengths 5.7014, 5.7014, 5.7014 Å; angles 138.07, 138.07, 60.80 degrees
Last column: nearest neighbours and their distance in Å.
Fractional positions:
1 Li 0.7500 0.2500 0.5000  8 Pb 2.89-3.19, 4 Tc 3.19
2 Pb 0.0000 0.0000 0.0000  4 Tc 2.89, 4 Li 3.19, 4 Pb 3.19
3 Pb 0.2500 0.7500 0.5000  4 Li 2.89, 4 Tc 3.19, 4 Pb 3.19
4 Tc 0.5000 0.5000 0.0000  8 Pb 2.89-3.19, 4 Li 3.19

Output
total moment: 0.98 μB/cell
D(E_F): 3.2 states/eV/cell
formation enthalpy at 0 K: 1.49 eV/f.u.
energy above the lowest structure with this stoichiometry: 129 meV/atom